i.
VASP calculation (PBE) on a geometry-optimized KRb2Hg2 structure.

Cell lengths 10.536, 10.536, 4.341 Å; angles 90.00, 90.00, 90.00 degrees
Fractional coordinates of all 10 atoms:
K: 0.000 0.000 0.000
K: 0.500 0.500 0.000
Rb: 0.139 0.361 0.000
Rb: 0.361 0.861 0.000
Rb: 0.639 0.139 0.000
Rb: 0.861 0.639 0.000
Hg: 0.156 0.656 0.500
Hg: 0.344 0.156 0.500
Hg: 0.656 0.844 0.500
Hg: 0.844 0.344 0.500

DOS at the Fermi energy (states/eV/f.u.): 3.803
Total magnetization (Bohr magnetons per cell): 0.000

=====

ii.
VASP calculation (PBE) on a geometry-optimized KRb2Hg2 structure.

Cell lengths 9.392, 9.392, 5.478 Å; angles 90.00, 90.00, 90.00 degrees
Fractional coordinates of all 10 atoms:
K: 0.000 0.000 0.000
K: 0.500 0.500 0.000
Rb: 0.172 0.328 0.500
Rb: 0.328 0.828 0.500
Rb: 0.672 0.172 0.500
Rb: 0.828 0.672 0.500
Hg: 0.116 0.616 0.000
Hg: 0.384 0.116 0.000
Hg: 0.616 0.884 0.000
Hg: 0.884 0.384 0.000

DOS at the Fermi energy (states/eV/f.u.): 3.979
Total magnetization (Bohr magnetons per cell): 0.000

=====

iii.
VASP calculation (PBE) on a geometry-optimized KRb2Hg2 structure.

Cell lengths 8.503, 8.503, 8.503 Å; angles 139.49, 139.49, 58.63 degrees
Fractional coordinates of all 5 atoms:
K: 0.000 0.000 0.000
Rb: 0.250 0.750 0.500
Rb: 0.750 0.250 0.500
Hg: 0.401 0.401 0.000
Hg: 0.599 0.599 0.000

DOS at the Fermi energy (states/eV/f.u.): 5.765
Total magnetization (Bohr magnetons per cell): 0.000

=====

Stability check: which of them is least stable? i.

=====

i.
VASP calculation (PBE) on a geometry-optimized KRb3Hg3 structure.

Cell lengths 8.623, 8.623, 9.383 Å; angles 96.33, 96.33, 83.46 degrees
Fractional coordinates of all 14 atoms:
K: 0.200 0.200 0.423
K: 0.800 0.800 0.577
Rb: 0.196 0.804 0.000
Rb: 0.290 0.710 0.500
Rb: 0.312 0.312 0.032
Rb: 0.688 0.688 0.968
Rb: 0.710 0.290 0.500
Rb: 0.804 0.196 0.000
Hg: 0.025 0.459 0.740
Hg: 0.088 0.088 0.728
Hg: 0.459 0.025 0.740
Hg: 0.541 0.975 0.260
Hg: 0.912 0.912 0.272
Hg: 0.975 0.541 0.260

DOS at the Fermi energy (states/eV/f.u.): 3.452
Total magnetization (Bohr magnetons per cell): 0.000

=====

ii.
VASP calculation (PBE) on a geometry-optimized KRb3Hg3 structure.

Cell lengths 9.945, 9.945, 9.945 Å; angles 90.00, 90.00, 90.00 degrees
Fractional coordinates of all 14 atoms:
K: 0.000 0.000 0.000
K: 0.500 0.500 0.500
Rb: 0.000 0.250 0.500
Rb: 0.000 0.750 0.500
Rb: 0.250 0.500 0.000
Rb: 0.500 0.000 0.250
Rb: 0.500 0.000 0.750
Rb: 0.750 0.500 0.000
Hg: 0.000 0.500 0.250
Hg: 0.000 0.500 0.750
Hg: 0.250 0.000 0.500
Hg: 0.500 0.250 0.000
Hg: 0.500 0.750 0.000
Hg: 0.750 0.000 0.500

DOS at the Fermi energy (states/eV/f.u.): 8.998
Total magnetization (Bohr magnetons per cell): 0.000

=====

Stability check: which of them is least stable? ii.

=====

i.
VASP calculation (PBE) on a geometry-optimized KRb5Hg structure.

Cell lengths 6.591, 6.591, 11.799 Å; angles 90.00, 90.00, 90.00 degrees
Fractional coordinates of all 7 atoms:
K: 0.000 0.000 0.000
Rb: 0.000 0.500 0.316
Rb: 0.000 0.500 0.684
Rb: 0.500 0.000 0.316
Rb: 0.500 0.000 0.684
Rb: 0.500 0.500 0.000
Hg: 0.000 0.000 0.500

DOS at the Fermi energy (states/eV/f.u.): 7.241
Total magnetization (Bohr magnetons per cell): 0.000

=====

ii.
VASP calculation (PBE) on a geometry-optimized KRb5Hg structure.

Cell lengths 12.331, 12.331, 9.161 Å; angles 111.36, 111.36, 101.89 degrees
Fractional coordinates of all 14 atoms:
K: 0.000 0.000 0.000
K: 0.000 0.000 0.500
Rb: 0.203 0.436 0.828
Rb: 0.204 0.438 0.316
Rb: 0.207 0.793 0.750
Rb: 0.436 0.203 0.328
Rb: 0.438 0.204 0.816
Rb: 0.562 0.796 0.184
Rb: 0.564 0.797 0.672
Rb: 0.793 0.207 0.250
Rb: 0.796 0.562 0.684
Rb: 0.797 0.564 0.172
Hg: 0.493 0.507 0.750
Hg: 0.507 0.493 0.250

DOS at the Fermi energy (states/eV/f.u.): 5.304
Total magnetization (Bohr magnetons per cell): 0.000

=====

Stability check: which of them is least stable? ii.

=====

i.
VASP calculation (PBE) on a geometry-optimized K12Rb5Hg3 structure.

Cell lengths 20.240, 20.240, 20.240 Å; angles 109.47, 109.47, 109.47 degrees
Fractional coordinates of all 80 atoms:
K: 0.044 0.634 0.383
K: 0.044 0.911 0.662
K: 0.089 0.251 0.134
K: 0.089 0.338 0.956
K: 0.117 0.751 0.662
K: 0.117 0.866 0.456
K: 0.134 0.089 0.251
K: 0.134 0.544 0.883
K: 0.162 0.251 0.617
K: 0.162 0.411 0.544
K: 0.249 0.338 0.883
K: 0.249 0.411 0.366
K: 0.251 0.134 0.089
K: 0.251 0.617 0.162
K: 0.338 0.883 0.249
K: 0.338 0.956 0.089
K: 0.366 0.249 0.411
K: 0.366 0.617 0.956
K: 0.383 0.044 0.634
K: 0.383 0.838 0.749
K: 0.411 0.366 0.249
K: 0.411 0.544 0.162
K: 0.456 0.117 0.866
K: 0.456 0.838 0.589
K: 0.544 0.162 0.411
K: 0.544 0.883 0.134
K: 0.589 0.456 0.838
K: 0.589 0.634 0.751
K: 0.617 0.162 0.251
K: 0.617 0.956 0.366
K: 0.634 0.383 0.044
K: 0.634 0.751 0.589
K: 0.662 0.044 0.911
K: 0.662 0.117 0.751
K: 0.749 0.383 0.838
K: 0.749 0.866 0.911
K: 0.751 0.589 0.634
K: 0.751 0.662 0.117
K: 0.838 0.589 0.456
K: 0.838 0.749 0.383
K: 0.866 0.456 0.117
K: 0.866 0.911 0.749
K: 0.883 0.134 0.544
K: 0.883 0.249 0.338
K: 0.911 0.662 0.044
K: 0.911 0.749 0.866
K: 0.956 0.089 0.338
K: 0.956 0.366 0.617
Rb: 0.000 0.000 0.000
Rb: 0.000 0.000 0.500
Rb: 0.000 0.500 0.000
Rb: 0.000 0.500 0.500
Rb: 0.125 0.750 0.875
Rb: 0.125 0.875 0.250
Rb: 0.250 0.125 0.875
Rb: 0.250 0.625 0.375
Rb: 0.375 0.250 0.625
Rb: 0.375 0.625 0.750
Rb: 0.500 0.000 0.000
Rb: 0.500 0.000 0.500
Rb: 0.500 0.500 0.000
Rb: 0.500 0.500 0.500
Rb: 0.625 0.375 0.250
Rb: 0.625 0.750 0.375
Rb: 0.750 0.375 0.625
Rb: 0.750 0.875 0.125
Rb: 0.875 0.125 0.750
Rb: 0.875 0.250 0.125
Hg: 0.125 0.250 0.375
Hg: 0.125 0.375 0.750
Hg: 0.250 0.375 0.125
Hg: 0.250 0.875 0.625
Hg: 0.375 0.125 0.250
Hg: 0.375 0.750 0.125
Hg: 0.625 0.250 0.875
Hg: 0.625 0.875 0.750
Hg: 0.750 0.125 0.375
Hg: 0.750 0.625 0.875
Hg: 0.875 0.625 0.250
Hg: 0.875 0.750 0.625

DOS at the Fermi energy (states/eV/f.u.): 12.608
Total magnetization (Bohr magnetons per cell): 0.000

=====

ii.
VASP calculation (PBE) on a geometry-optimized K12Rb5Hg3 structure.

Cell lengths 18.758, 18.758, 4.737 Å; angles 90.00, 90.00, 120.00 degrees
Fractional coordinates of all 20 atoms:
K: 0.000 0.528 0.000
K: 0.000 0.817 0.000
K: 0.183 0.183 0.000
K: 0.210 0.773 0.500
K: 0.227 0.438 0.500
K: 0.438 0.227 0.500
K: 0.472 0.472 0.000
K: 0.528 0.000 0.000
K: 0.562 0.790 0.500
K: 0.773 0.210 0.500
K: 0.790 0.562 0.500
K: 0.817 0.000 0.000
Rb: 0.000 0.273 0.000
Rb: 0.273 0.000 0.000
Rb: 0.333 0.667 0.000
Rb: 0.667 0.333 0.000
Rb: 0.727 0.727 0.000
Hg: 0.000 0.675 0.500
Hg: 0.325 0.325 0.500
Hg: 0.675 0.000 0.500

DOS at the Fermi energy (states/eV/f.u.): 14.666
Total magnetization (Bohr magnetons per cell): 0.000

=====

Stability check: which of them is least stable? i.

=====

i.
VASP calculation (PBE) on a geometry-optimized K3Rb4Hg structure.

Cell lengths 4.999, 6.843, 16.683 Å; angles 90.00, 90.00, 90.00 degrees
Fractional coordinates of all 8 atoms:
K: 0.000 0.000 0.000
K: 0.000 0.500 0.149
K: 0.500 0.000 0.524
Rb: 0.000 0.000 0.724
Rb: 0.000 0.500 0.448
Rb: 0.500 0.000 0.259
Rb: 0.500 0.500 0.868
Hg: 0.500 0.500 0.633

DOS at the Fermi energy (states/eV/f.u.): 6.084
Total magnetization (Bohr magnetons per cell): 0.000

=====

ii.
VASP calculation (PBE) on a geometry-optimized K3Rb4Hg structure.

Cell lengths 12.640, 12.640, 12.640 Å; angles 96.09, 96.09, 141.98 degrees
Fractional coordinates of all 16 atoms:
K: 0.123 0.623 0.746
K: 0.250 0.250 0.000
K: 0.377 0.123 0.500
K: 0.623 0.877 0.500
K: 0.750 0.750 0.000
K: 0.877 0.377 0.254
Rb: 0.094 0.223 0.316
Rb: 0.223 0.906 0.129
Rb: 0.277 0.406 0.684
Rb: 0.406 0.723 0.129
Rb: 0.594 0.277 0.871
Rb: 0.723 0.594 0.316
Rb: 0.777 0.094 0.871
Rb: 0.906 0.777 0.684
Hg: 0.250 0.750 0.500
Hg: 0.750 0.250 0.500

DOS at the Fermi energy (states/eV/f.u.): 5.853
Total magnetization (Bohr magnetons per cell): 0.000

=====

Stability check: which of them is least stable? ii.

=====

i.
VASP calculation (PBE) on a geometry-optimized KRb7Hg3 structure.

Cell lengths 9.701, 9.701, 11.856 Å; angles 125.54, 125.54, 58.21 degrees
Fractional coordinates of all 11 atoms:
K: 0.000 0.000 0.000
Rb: 0.052 0.544 0.133
Rb: 0.446 0.945 0.641
Rb: 0.467 0.467 0.679
Rb: 0.544 0.052 0.133
Rb: 0.549 0.549 0.156
Rb: 0.908 0.908 0.543
Rb: 0.945 0.446 0.641
Hg: 0.029 0.029 0.325
Hg: 0.044 0.380 0.352
Hg: 0.380 0.044 0.352

DOS at the Fermi energy (states/eV/f.u.): 7.916
Total magnetization (Bohr magnetons per cell): 0.000

=====

ii.
VASP calculation (PBE) on a geometry-optimized KRb7Hg3 structure.

Cell lengths 9.649, 9.649, 8.857 Å; angles 90.00, 90.00, 120.00 degrees
Fractional coordinates of all 11 atoms:
K: 0.000 0.000 0.000
Rb: 0.333 0.667 0.559
Rb: 0.350 0.175 0.626
Rb: 0.500 0.001 0.119
Rb: 0.500 0.500 0.119
Rb: 0.825 0.175 0.626
Rb: 0.825 0.650 0.626
Rb: 0.999 0.500 0.119
Hg: 0.114 0.229 0.333
Hg: 0.114 0.886 0.333
Hg: 0.771 0.886 0.333

DOS at the Fermi energy (states/eV/f.u.): 8.808
Total magnetization (Bohr magnetons per cell): 0.000

=====

Stability check: which of them is least stable? ii.

=====

i.
VASP calculation (PBE) on a geometry-optimized K2Rb4Hg structure.

Cell lengths 12.358, 12.358, 12.358 Å; angles 146.96, 146.96, 47.43 degrees
Fractional coordinates of all 7 atoms:
K: 0.136 0.136 0.000
K: 0.864 0.864 0.000
Rb: 0.000 0.500 0.500
Rb: 0.334 0.334 0.000
Rb: 0.500 0.000 0.500
Rb: 0.666 0.666 0.000
Hg: 0.500 0.500 0.000

DOS at the Fermi energy (states/eV/f.u.): 5.409
Total magnetization (Bohr magnetons per cell): 0.000

=====

ii.
VASP calculation (PBE) on a geometry-optimized K2Rb4Hg structure.

Cell lengths 9.988, 9.988, 9.068 Å; angles 114.24, 114.24, 38.20 degrees
Fractional coordinates of all 7 atoms:
K: 0.201 0.201 0.301
K: 0.799 0.799 0.699
Rb: 0.139 0.139 0.770
Rb: 0.467 0.467 0.742
Rb: 0.533 0.533 0.258
Rb: 0.861 0.861 0.230
Hg: 0.000 0.000 0.000

DOS at the Fermi energy (states/eV/f.u.): 4.987
Total magnetization (Bohr magnetons per cell): 0.000

=====

Stability check: which of them is least stable? i.

=====

i.
VASP calculation (PBE) on a geometry-optimized K8Rb2Hg structure.

Cell lengths 11.864, 11.864, 8.096 Å; angles 105.62, 105.62, 45.14 degrees
Fractional coordinates of all 11 atoms:
K: 0.119 0.119 0.925
K: 0.187 0.688 0.663
K: 0.245 0.245 0.553
K: 0.312 0.813 0.337
K: 0.688 0.187 0.663
K: 0.755 0.755 0.447
K: 0.813 0.312 0.337
K: 0.881 0.881 0.075
Rb: 0.347 0.347 0.121
Rb: 0.653 0.653 0.879
Hg: 0.500 0.500 0.000

DOS at the Fermi energy (states/eV/f.u.): 8.933
Total magnetization (Bohr magnetons per cell): 0.000

=====

ii.
VASP calculation (PBE) on a geometry-optimized K8Rb2Hg structure.

Cell lengths 12.306, 12.306, 9.012 Å; angles 96.46, 96.46, 33.65 degrees
Fractional coordinates of all 11 atoms:
K: 0.020 0.020 0.270
K: 0.166 0.166 0.652
K: 0.362 0.362 0.622
K: 0.420 0.420 0.122
K: 0.580 0.580 0.878
K: 0.638 0.638 0.378
K: 0.834 0.834 0.348
K: 0.980 0.980 0.730
Rb: 0.215 0.215 0.149
Rb: 0.785 0.785 0.851
Hg: 0.500 0.500 0.500

DOS at the Fermi energy (states/eV/f.u.): 7.758
Total magnetization (Bohr magnetons per cell): 0.000

=====

Stability check: which of them is least stable? i.